CaErIr4: relaxed, GGA-PBE.

* magnetic moment: 0.0 Bohr magnetons per cell
* space group: F-43m (216)
* formation energy: -0.65 eV/atom

Cell: 5.3503 5.3503 5.3503 Å, 60.00 60.00 60.00°
Sites, in units of the cell vectors:
Ca  0.0000  0.0000  0.0000
Er  0.7500  0.7500  0.7500
Ir  0.3750  0.3750  0.3750
Ir  0.3750  0.3750  0.8751
Ir  0.3750  0.8751  0.3750
Ir  0.8751  0.3750  0.3750